Computed, not measured: crystalline SrPrMn2O5 at its relaxed geometry at the PBE with a Hubbard U level of DFT.

Calculated values
Uncorrected energy (eV per atom): -7.48

```
data_SrPrMn2O5
_chemical_formula_sum 'Sr1 Pr1 Mn2 O5'
_space_group_name_H-M_alt 'P 1'
_space_group_IT_number 1
_space_group_name_Hall 'P 1'
_cell_length_a 3.990
_cell_length_b 3.990
_cell_length_c 7.881
_cell_angle_alpha 90.00
_cell_angle_beta 90.00
_cell_angle_gamma 90.00
loop_
_atom_site_label
_atom_site_fract_x
_atom_site_fract_y
_atom_site_fract_z
O1 0.500 0.000 0.194
O2 0.500 0.000 0.806
O3 0.000 0.500 0.194
O4 0.000 0.500 0.806
O5 0.500 0.500 0.500
Pr1 0.000 0.000 0.000
Mn1 0.500 0.500 0.758
Mn2 0.500 0.500 0.242
Sr1 0.000 0.000 0.500
```